Record 1
# PrSmGaIr

A relaxed structure of PrSmGaIr (PBE, Alexandria).

Structure (POSCAR):
```
PrSmGaIr
1.0
5.115 0.000 0.000
2.557 4.430 0.000
2.557 1.477 4.176
Ir Ga Sm Pr
1 1 1 1
Direct
0.750 0.750 0.750 Ir
0.250 0.250 0.250 Ga
0.500 0.500 0.500 Sm
0.000 0.000 0.000 Pr
```

Total energy, eV per cell: -23.44
Total magnetic moment, μB/f.u.: 0.0
Calculated density, g/cm³: 9.7
Energy relative to the elements, eV/atom: -0.51

=====

Record 2
# EuTmAlTl

A relaxed structure of EuTmAlTl (PBE, Alexandria).

Structure (POSCAR):
```
EuTmAlTl
1.0
-5.330 0.141 0.187
-2.676 -3.763 2.671
-2.477 1.220 4.564
Tl Eu Al Tm
1 1 1 1
Direct
0.000 0.000 0.000 Tl
0.250 0.250 0.250 Eu
0.500 0.500 0.500 Al
0.750 0.750 0.750 Tm
```

Total energy, eV per cell: -21.97
Total magnetic moment, μB/f.u.: 7.1
Calculated density, g/cm³: 8.5
Energy relative to the elements, eV/atom: -0.28

=====

Record 3
# Ir2AuSe

A relaxed structure of Ir2AuSe (PBE, Alexandria).

Structure (POSCAR):
```
Ir2AuSe
1.0
-2.207 1.740 -0.728
-2.415 -3.740 -1.618
-1.908 -0.624 4.290
Ir Au Se
2 1 1
Direct
0.000 0.000 0.000 Ir
0.000 0.500 0.500 Ir
0.500 0.000 0.500 Au
0.500 0.500 0.000 Se
```

Total energy, eV per cell: -21.95
Total magnetic moment, μB/f.u.: 0.0
Calculated density, g/cm³: 16.8
E_form (uncorrected), eV per atom: 0.633

=====

Record 4
# LaCePmEr

A relaxed structure of LaCePmEr (PBE, Alexandria).

Structure (POSCAR):
```
LaCePmEr
1.0
5.764 0.000 0.000
2.882 4.991 0.000
2.882 1.664 4.706
La Ce Er Pm
1 1 1 1
Direct
0.000 0.000 0.000 La
0.250 0.250 0.250 Ce
0.750 0.750 0.750 Er
0.500 0.500 0.500 Pm
```

Total energy, eV per cell: -19.38
Total magnetic moment, μB/f.u.: 3.3
Calculated density, g/cm³: 7.3
Energy relative to the elements, eV/atom: 0.20

=====

Record 5
# CaNbSe2

A relaxed structure of CaNbSe2 (PBE, Alexandria).

Structure (POSCAR):
```
CaNbSe2
1.0
6.089 0.000 0.000
0.000 6.089 0.000
3.044 3.044 6.532
Nb Se Ca
2 4 2
Direct
0.000 0.000 0.000 Nb
0.750 0.250 0.500 Nb
0.084 0.625 0.250 Se
0.666 0.125 0.250 Se
0.875 0.916 0.750 Se
0.375 0.334 0.750 Se
0.500 0.500 0.000 Ca
0.250 0.750 0.500 Ca
```

Total energy, eV per cell: -43.89
Total magnetic moment, μB/f.u.: 2.1
Calculated density, g/cm³: 4.0
E_form (uncorrected), eV per atom: -0.726

=====

Record 6
# LaSm3Dy2Ho6

A relaxed structure of LaSm3Dy2Ho6 (PBE, Alexandria).

Structure (POSCAR):
```
LaSm3Dy2Ho6
1.0
-0.269 -3.611 5.023
3.713 -1.528 -4.714
7.504 7.793 4.735
Ho Sm Dy La
6 3 2 1
Direct
0.084 0.419 0.250 Ho
0.749 0.749 0.250 Ho
0.251 0.251 0.750 Ho
0.419 0.084 0.250 Ho
0.916 0.581 0.750 Ho
0.581 0.916 0.750 Ho
0.500 0.500 0.500 Sm
0.833 0.167 0.500 Sm
0.167 0.833 0.500 Sm
0.333 0.667 0.000 Dy
0.667 0.333 0.000 Dy
0.000 0.000 0.000 La
```

Total energy, eV per cell: -55.54
Total magnetic moment, μB/f.u.: 0.0
Calculated density, g/cm³: 8.2
Energy relative to the elements, eV/atom: 0.02

=====

Record 7
# CeNdHoTh

A relaxed structure of CeNdHoTh (PBE, Alexandria).

Structure (POSCAR):
```
CeNdHoTh
1.0
-0.340 -2.170 -5.232
3.314 -4.361 -1.483
-2.265 -5.141 -0.798
Nd Ce Ho Th
1 1 1 1
Direct
0.250 0.250 0.250 Nd
0.000 0.000 0.000 Ce
0.500 0.500 0.500 Ho
0.750 0.750 0.750 Th
```

Total energy, eV per cell: -21.80
Total magnetic moment, μB/f.u.: 1.8
Calculated density, g/cm³: 8.8
Energy relative to the elements, eV/atom: 0.22

=====

Record 8
# VRe

A relaxed structure of VRe (PBE, Alexandria).

Structure (POSCAR):
```
VRe
1.0
6.950 0.000 0.000
-3.475 6.019 0.000
0.000 0.000 4.488
Re V
6 6
Direct
0.603 0.092 0.750 Re
0.397 0.908 0.250 Re
0.511 0.603 0.250 Re
0.908 0.511 0.750 Re
0.489 0.397 0.750 Re
0.092 0.489 0.250 Re
0.834 0.080 0.250 V
0.247 0.166 0.250 V
0.080 0.247 0.750 V
0.166 0.920 0.750 V
0.920 0.753 0.250 V
0.753 0.834 0.750 V
```

Total energy, eV per cell: -125.03
Total magnetic moment, μB/f.u.: 0.0
Calculated density, g/cm³: 12.6
Energy relative to the elements, eV/atom: 0.36

=====

Record 9
# Re2Tc2W

A relaxed structure of Re2Tc2W (PBE, Alexandria).

Structure (POSCAR):
```
Re2Tc2W
1.0
4.288 0.011 2.401
2.434 4.652 0.636
-0.739 0.879 7.122
Tc Re W
4 4 2
Direct
0.295 0.272 0.951 Tc
0.434 0.273 0.549 Tc
0.566 0.727 0.451 Tc
0.705 0.728 0.049 Tc
0.105 0.156 0.345 Re
0.739 0.158 0.154 Re
0.895 0.844 0.655 Re
0.261 0.842 0.846 Re
0.181 0.636 0.251 W
0.819 0.364 0.749 W
```

Total energy, eV per cell: -115.77
Total magnetic moment, μB/f.u.: 0.0
Calculated density, g/cm³: 16.3
Energy relative to the elements, eV/atom: 0.14

=====

Record 10
# RbI2O2

A relaxed structure of RbI2O2 (PBE, Alexandria).

Structure (POSCAR):
```
RbI2O2
1.0
4.650 0.000 0.000
0.000 4.650 0.000
0.000 0.000 7.118
O I Rb
2 2 1
Direct
0.000 0.000 0.000 O
0.000 0.000 0.500 O
0.500 0.000 0.000 I
0.000 0.500 0.000 I
0.500 0.500 0.500 Rb
```

Total energy, eV per cell: -13.51
Total magnetic moment, μB/f.u.: 0.4
Calculated density, g/cm³: 4.0
E_form (uncorrected), eV per atom: 0.095

=====

Record 11
# K3BeS

A relaxed structure of K3BeS (PBE, Alexandria).

Structure (POSCAR):
```
K3BeS
1.0
6.081 0.000 0.000
0.000 6.081 0.000
0.000 0.000 6.081
K S Be
3 1 1
Direct
0.000 0.000 0.500 K
0.500 0.000 0.000 K
0.000 0.500 0.000 K
0.000 0.000 0.000 S
0.500 0.500 0.500 Be
```

Total energy, eV per cell: -11.08
Total magnetic moment, μB/f.u.: 0.9
Calculated density, g/cm³: 1.2
E_form (uncorrected), eV per atom: 0.012

=====

Record 12
# MgBePt2

A relaxed structure of MgBePt2 (PBE, Alexandria).

Structure (POSCAR):
```
MgBePt2
1.0
-4.732 -0.250 1.474
-2.014 -4.521 0.357
4.150 2.234 1.553
Pt Be Mg
2 1 1
Direct
0.250 0.750 0.500 Pt
0.000 0.000 0.000 Pt
0.500 0.500 0.000 Be
0.750 0.250 0.500 Mg
```

Total energy, eV per cell: -19.45
Total magnetic moment, μB/f.u.: 0.0
Calculated density, g/cm³: 12.4
Energy relative to the elements, eV/atom: -0.51

=====

Record 13
# La2TlIrC

A relaxed structure of La2TlIrC (PBE, Alexandria).

Structure (POSCAR):
```
La2TlIrC
1.0
5.500 0.000 0.000
0.000 5.500 0.000
0.000 0.000 3.921
La Ir C Tl
2 1 1 1
Direct
0.000 0.500 0.000 La
0.500 0.000 0.000 La
0.000 0.000 0.500 Ir
0.000 0.000 0.000 C
0.500 0.500 0.500 Tl
```

Total energy, eV per cell: -32.43
Total magnetic moment, μB/f.u.: 0.0
Calculated density, g/cm³: 9.6
Energy relative to the elements, eV/atom: -0.42

=====

Record 14
# Cs2AgWSe4

A relaxed structure of Cs2AgWSe4 (PBE, Alexandria).

Structure (POSCAR):
```
Cs2AgWSe4
1.0
6.085 0.000 0.000
3.043 7.491 0.000
3.043 0.000 12.738
W Se Cs Ag
2 8 4 2
Direct
0.250 0.500 0.500 W
0.500 0.000 0.000 W
0.187 0.308 0.388 Se
0.245 0.192 0.888 Se
0.563 0.192 0.112 Se
0.884 0.692 0.612 Se
0.425 0.692 0.388 Se
0.325 0.808 0.112 Se
0.866 0.808 0.888 Se
0.505 0.308 0.612 Se
0.571 0.500 0.858 Cs
0.179 0.000 0.642 Cs
0.821 0.000 0.358 Cs
0.929 0.500 0.142 Cs
0.000 0.000 0.000 Ag
0.750 0.500 0.500 Ag
```

Total energy, eV per cell: -73.69
Total magnetic moment, μB/f.u.: 1.0
Calculated density, g/cm³: 5.0
E_form (uncorrected), eV per atom: -0.674

=====

Record 15
# NaLa2ReN4

A relaxed structure of NaLa2ReN4 (PBE, Alexandria).

Structure (POSCAR):
```
NaLa2ReN4
1.0
-5.176 0.983 2.660
-2.251 -4.824 -2.549
4.828 -0.149 2.876
N Re La Na
4 1 2 1
Direct
0.207 0.207 0.852 N
0.645 0.645 0.852 N
0.356 0.795 0.151 N
0.795 0.356 0.151 N
0.500 0.500 0.000 Re
0.749 0.249 0.498 La
0.249 0.749 0.498 La
0.999 0.999 0.997 Na
```

Total energy, eV per cell: -63.19
Total magnetic moment, μB/f.u.: 0.0
Calculated density, g/cm³: 6.9
E_form (uncorrected), eV per atom: -0.784

=====

Record 16
# La3GeIr

A relaxed structure of La3GeIr (PBE, Alexandria).

Structure (POSCAR):
```
La3GeIr
1.0
-0.053 -4.040 3.792
-2.880 -3.219 -3.470
4.733 -2.005 -2.069
La Ge Ir
3 1 1
Direct
0.000 0.500 0.000 La
0.500 0.000 0.000 La
0.000 0.000 0.500 La
0.500 0.500 0.500 Ge
0.000 0.000 0.000 Ir
```

Total energy, eV per cell: -30.24
Total magnetic moment, μB/f.u.: 0.0
Calculated density, g/cm³: 6.7
Energy relative to the elements, eV/atom: -0.40

=====

Record 17
# LiCeNiRh

A relaxed structure of LiCeNiRh (PBE, Alexandria).

Structure (POSCAR):
```
LiCeNiRh
1.0
-0.659 4.322 1.363
-0.154 0.994 4.468
3.426 2.335 1.946
Rh Ce Li Ni
1 1 1 1
Direct
0.750 0.750 0.750 Rh
0.000 0.000 0.000 Ce
0.500 0.500 0.500 Li
0.250 0.250 0.250 Ni
```

Total energy, eV per cell: -22.17
Total magnetic moment, μB/f.u.: 0.0
Calculated density, g/cm³: 7.5
Energy relative to the elements, eV/atom: -0.30

=====

Record 18
# Cd2Pd7Au

A relaxed structure of Cd2Pd7Au (PBE, Alexandria).

Structure (POSCAR):
```
Cd2Pd7Au
1.0
-0.436 2.533 -1.043
-7.648 0.702 4.896
8.195 2.635 2.976
Cd Pd Au
2 7 1
Direct
0.500 0.679 0.321 Cd
0.500 0.321 0.679 Cd
0.000 0.826 0.174 Pd
0.500 0.858 0.678 Pd
0.500 0.142 0.322 Pd
0.000 0.174 0.826 Pd
0.500 0.678 0.858 Pd
0.500 0.500 0.500 Pd
0.500 0.322 0.142 Pd
0.000 0.000 0.000 Au
```

Total energy, eV per cell: -40.18
Total magnetic moment, μB/f.u.: 0.0
Calculated density, g/cm³: 10.1
Energy relative to the elements, eV/atom: 0.13

=====

Record 19
# CuNi4B

A relaxed structure of CuNi4B (PBE, Alexandria).

Structure (POSCAR):
```
CuNi4B
1.0
4.293 0.000 -0.362
0.000 5.203 0.000
-1.679 -2.601 5.691
B Ni Cu
2 8 2
Direct
0.702 0.500 0.000 B
0.298 0.500 0.000 B
0.000 0.220 0.000 Ni
0.618 0.879 0.237 Ni
0.618 0.358 0.237 Ni
0.382 0.642 0.763 Ni
0.179 0.679 0.358 Ni
0.821 0.321 0.642 Ni
0.382 0.121 0.763 Ni
0.000 0.780 0.000 Ni
0.195 0.195 0.390 Cu
0.805 0.805 0.610 Cu
```

Total energy, eV per cell: -68.67
Total magnetic moment, μB/f.u.: 0.0
Calculated density, g/cm³: 8.3
Energy relative to the elements, eV/atom: -0.07

=====

Record 20
# In2AuBr

A relaxed structure of In2AuBr (PBE, Alexandria).

Structure (POSCAR):
```
In2AuBr
1.0
-3.148 2.064 -2.764
1.336 -2.041 -3.045
-3.932 -4.378 1.209
Au In Br
1 2 1
Direct
0.000 0.000 0.375 Au
0.000 0.000 0.875 In
0.500 0.500 0.375 In
0.500 0.500 0.875 Br
```

Total energy, eV per cell: -11.62
Total magnetic moment, μB/f.u.: 0.0
Calculated density, g/cm³: 7.7
E_form (uncorrected), eV per atom: -0.299